{"formula": "Ce2Ga12Ni", "functional": "SCAN", "state": "PBEsol geometry", "lattice": [[5.9353, 0.0000, 0.0000], [0.0000, 5.9353, 0.0000], [0.0000, 0.0000, 15.2099]], "species": ["Ce", "Ce", "Ce", "Ce", "Ga", "Ga", "Ga", "Ga", "Ga", "Ga", "Ga", "Ga", "Ga", "Ga", "Ga", "Ga", "Ga", "Ga", "Ga", "Ga", "Ga", "Ga", "Ga", "Ga", "Ga", "Ga", "Ga", "Ga", "Ni", "Ni"], "frac_coords": [[0.2500, 0.7500, 0.2428], [0.2500, 0.7500, 0.7572], [0.7500, 0.2500, 0.2428], [0.7500, 0.2500, 0.7572], [0.0002, 0.9998, 0.0844], [0.9998, 0.0002, 0.9156], [0.9998, 0.4998, 0.0844], [0.0002, 0.5002, 0.9156], [0.0787, 0.5787, 0.4283], [0.0787, 0.9213, 0.5717], [0.2500, 0.2500, 0.1829], [0.2500, 0.2500, 0.3401], [0.2500, 0.2500, 0.6599], [0.2500, 0.2500, 0.8171], [0.4213, 0.5787, 0.5717], [0.4213, 0.9213, 0.4283], [0.5002, 0.0002, 0.0844], [0.4998, 0.9998, 0.9156], [0.4998, 0.5002, 0.0844], [0.5002, 0.4998, 0.9156], [0.5787, 0.0787, 0.5717], [0.5787, 0.4213, 0.4283], [0.7500, 0.7500, 0.1829], [0.7500, 0.7500, 0.3401], [0.7500, 0.7500, 0.6599], [0.7500, 0.7500, 0.8171], [0.9213, 0.0787, 0.4283], [0.9213, 0.4213, 0.5717], [0.2500, 0.7500, 0.0000], [0.7500, 0.2500, 0.0000]], "space_group": "P4/nbm (125)", "crystal_system": "tetragonal"}

{"formula": "CeGa3Ni", "functional": "SCAN", "state": "PBEsol geometry", "lattice": [[4.0888, 0.0000, 0.0000], [0.0000, 4.0888, 0.0000], [0.0000, 0.0000, 10.2768]], "species": ["Ce", "Ce", "Ga", "Ga", "Ga", "Ga", "Ga", "Ga", "Ni", "Ni"], "frac_coords": [[0.0000, 0.0000, 0.0000], [0.5000, 0.5000, 0.5000], [0.0000, 0.0000, 0.3813], [0.0000, 0.0000, 0.6187], [0.0000, 0.5000, 0.7500], [0.5000, 0.0000, 0.2500], [0.5000, 0.5000, 0.1187], [0.5000, 0.5000, 0.8813], [0.0000, 0.5000, 0.2500], [0.5000, 0.0000, 0.7500]], "space_group": "I-4m2 (119)", "crystal_system": "tetragonal"}

{"formula": "CeGaNi4", "functional": "SCAN", "state": "PBEsol geometry", "lattice": [[4.9960, 0.0000, 0.0000], [-2.4980, 4.3266, 0.0000], [0.0000, 0.0000, 3.8373]], "species": ["Ce", "Ga", "Ni", "Ni", "Ni", "Ni"], "frac_coords": [[0.0000, 0.0000, 0.0000], [0.6667, 0.3333, 0.0000], [0.0051, 0.5025, 0.5000], [0.3333, 0.6667, 0.0000], [0.4975, 0.5025, 0.5000], [0.4975, 0.9949, 0.5000]], "space_group": "P-6m2 (187)", "crystal_system": "hexagonal"}

{"formula": "CeGaNi4", "functional": "SCAN", "state": "PBEsol geometry", "lattice": [[4.9610, 0.0000, 0.0000], [0.0000, 8.2274, 0.0000], [0.0000, 0.0000, 4.0239]], "species": ["Ce", "Ce", "Ga", "Ga", "Ni", "Ni", "Ni", "Ni", "Ni", "Ni", "Ni", "Ni"], "frac_coords": [[0.0000, 0.0000, 0.0000], [0.5000, 0.5000, 0.0000], [0.0000, 0.5000, 0.5000], [0.5000, 0.0000, 0.5000], [0.0000, 0.3272, 0.0000], [0.0000, 0.6728, 0.0000], [0.2500, 0.2500, 0.5000], [0.2500, 0.7500, 0.5000], [0.5000, 0.1728, 0.0000], [0.5000, 0.8272, 0.0000], [0.7500, 0.2500, 0.5000], [0.7500, 0.7500, 0.5000]], "space_group": "Cmmm (65)", "crystal_system": "orthorhombic"}

{"formula": "CeGa4Os", "functional": "SCAN", "state": "PBEsol geometry", "lattice": [[9.3806, 0.0000, 0.0000], [0.0000, 8.7463, 0.0000], [0.0000, 0.0000, 7.5835]], "species": ["Ce", "Ce", "Ce", "Ce", "Ce", "Ce", "Ga", "Ga", "Ga", "Ga", "Ga", "Ga", "Ga", "Ga", "Ga", "Ga", "Ga", "Ga", "Ga", "Ga", "Ga", "Ga", "Ga", "Ga", "Ga", "Ga", "Ga", "Ga", "Ga", "Ga", "Os", "Os", "Os", "Os", "Os", "Os"], "frac_coords": [[0.2500, 0.0000, 0.1741], [0.2500, 0.2549, 0.6634], [0.2500, 0.7451, 0.6634], [0.7500, 0.0000, 0.8259], [0.7500, 0.2549, 0.3366], [0.7500, 0.7451, 0.3366], [0.0000, 0.0000, 0.5000], [0.0642, 0.5000, 0.8379], [0.0800, 0.2603, 0.3231], [0.0800, 0.7397, 0.3231], [0.0904, 0.0000, 0.8414], [0.2500, 0.3434, 0.0465], [0.2500, 0.5000, 0.3677], [0.2500, 0.6566, 0.0465], [0.4096, 0.0000, 0.8414], [0.4200, 0.2603, 0.3231], [0.4200, 0.7397, 0.3231], [0.4358, 0.5000, 0.8379], [0.5000, 0.0000, 0.5000], [0.5642, 0.5000, 0.1621], [0.5800, 0.2603, 0.6769], [0.5800, 0.7397, 0.6769], [0.5904, 0.0000, 0.1586], [0.7500, 0.3434, 0.9535], [0.7500, 0.5000, 0.6323], [0.7500, 0.6566, 0.9535], [0.9096, 0.0000, 0.1586], [0.9200, 0.2603, 0.6769], [0.9200, 0.7397, 0.6769], [0.9358, 0.5000, 0.1621], [0.0000, 0.2390, 0.0000], [0.0000, 0.5000, 0.5000], [0.0000, 0.7610, 0.0000], [0.5000, 0.2390, 0.0000], [0.5000, 0.5000, 0.5000], [0.5000, 0.7610, 0.0000]], "space_group": "Pmma (51)", "crystal_system": "orthorhombic"}

{"formula": "Ce8GaPd24", "functional": "SCAN", "state": "PBEsol geometry", "lattice": [[8.2865, 0.0000, 0.0000], [0.0000, 8.2865, 0.0000], [0.0000, 0.0000, 8.2865]], "species": ["Ce", "Ce", "Ce", "Ce", "Ce", "Ce", "Ce", "Ce", "Ga", "Pd", "Pd", "Pd", "Pd", "Pd", "Pd", "Pd", "Pd", "Pd", "Pd", "Pd", "Pd", "Pd", "Pd", "Pd", "Pd", "Pd", "Pd", "Pd", "Pd", "Pd", "Pd", "Pd", "Pd"], "frac_coords": [[0.2500, 0.2500, 0.2500], [0.2500, 0.2500, 0.7500], [0.2500, 0.7500, 0.2500], [0.2500, 0.7500, 0.7500], [0.7500, 0.2500, 0.2500], [0.7500, 0.2500, 0.7500], [0.7500, 0.7500, 0.2500], [0.7500, 0.7500, 0.7500], [0.0000, 0.0000, 0.0000], [0.0000, 0.0000, 0.2965], [0.0000, 0.0000, 0.7035], [0.0000, 0.2615, 0.5000], [0.0000, 0.2965, 0.0000], [0.0000, 0.5000, 0.2615], [0.0000, 0.5000, 0.7385], [0.0000, 0.7035, 0.0000], [0.0000, 0.7385, 0.5000], [0.2535, 0.5000, 0.5000], [0.2615, 0.0000, 0.5000], [0.2615, 0.5000, 0.0000], [0.2965, 0.0000, 0.0000], [0.5000, 0.0000, 0.2615], [0.5000, 0.0000, 0.7385], [0.5000, 0.2535, 0.5000], [0.5000, 0.2615, 0.0000], [0.5000, 0.5000, 0.2535], [0.5000, 0.5000, 0.7465], [0.5000, 0.7385, 0.0000], [0.5000, 0.7465, 0.5000], [0.7035, 0.0000, 0.0000], [0.7385, 0.0000, 0.5000], [0.7385, 0.5000, 0.0000], [0.7465, 0.5000, 0.5000]], "space_group": "Pm-3m (221)", "crystal_system": "cubic"}

no.,formation enthalpy at 0 K (meV/atom),density (g/cm3)
1,-454,7.3
2,-577,7.9
3,-405,8.9
4,-459,9.0
5,-556,9.8
6,-827,10.9